1.
# NaLa2Cu2O6

An optimized crystal structure of NaLa2Cu2O6 (GGA-PBE, Alexandria via LeMat-Bulk).

Calculated total energy: -67.39 eV/cell
SG: R-3m
M_tot: 2.239 μB/f.u.
Volume: 170.0 Å³/cell
Formation energy without anion corrections: -1.661 eV/atom

Cell lengths 6.791, 6.791, 6.791 Å; angles 50.17, 50.17, 50.17 degrees
Sites, in units of the cell vectors:
Na (0.000, 0.000, 0.000)
La (0.202, 0.202, 0.202)
La (0.798, 0.798, 0.798)
Cu (0.426, 0.426, 0.426)
Cu (0.574, 0.574, 0.574)
O (0.203, 0.748, 0.748)
O (0.252, 0.252, 0.797)
O (0.252, 0.797, 0.252)
O (0.748, 0.203, 0.748)
O (0.748, 0.748, 0.203)
O (0.797, 0.252, 0.252)

***

2.
# NaInPd2

An optimized crystal structure of NaInPd2 (GGA-PBE, Alexandria via LeMat-Bulk).

Calculated total energy: -15.84 eV/cell
SG: P4/mmm
M_tot: 0.000 μB/f.u.
Volume: 70.6 Å³/cell

Cell lengths 4.377, 4.377, 3.683 Å; angles 90.00, 90.00, 90.00 degrees
Sites, in units of the cell vectors:
Na (0.000, 0.000, 0.000)
In (0.500, 0.500, 0.000)
Pd (0.000, 0.500, 0.500)
Pd (0.500, 0.000, 0.500)

***

3.
# SrScCuSn2

An optimized crystal structure of SrScCuSn2 (GGA-PBE, Alexandria via LeMat-Bulk).

Calculated total energy: -20.47 eV/cell
SG: P4/mmm
M_tot: 0.201 μB/f.u.
Volume: 136.6 Å³/cell

Cell lengths 5.219, 5.219, 5.017 Å; angles 90.00, 90.00, 90.00 degrees
Sites, in units of the cell vectors:
Sr (0.000, 0.000, 0.000)
Sc (0.500, 0.500, 0.000)
Cu (0.500, 0.500, 0.500)
Sn (0.000, 0.500, 0.500)
Sn (0.500, 0.000, 0.500)

***

4.
# LiAgS2Cl

An optimized crystal structure of LiAgS2Cl (GGA-PBE, Alexandria via LeMat-Bulk).

Calculated total energy: -14.46 eV/cell
SG: P4/mmm
M_tot: 0.799 μB/f.u.
Volume: 122.6 Å³/cell
Relative energy among the computed polymorphs: 0.00 kcal/mol of atoms
Formation energy without anion corrections: 0.080 eV/atom

Cell lengths 4.821, 4.821, 5.275 Å; angles 90.00, 90.00, 90.00 degrees
Sites, in units of the cell vectors:
Li (0.000, 0.000, 0.000)
Ag (0.500, 0.500, 0.500)
S (0.000, 0.500, 0.500)
S (0.500, 0.000, 0.500)
Cl (0.500, 0.500, 0.000)

***

5.
# PdC

An optimized crystal structure of PdC (GGA-PBE, Alexandria via LeMat-Bulk).

Calculated total energy: -47.06 eV/cell
SG: I4/m
M_tot: 0.000 μB/f.u.
Volume: 120.2 Å³/cell
Relative energy among the computed polymorphs: 11.66 kcal/mol of atoms

Cell lengths 6.349, 6.349, 6.349 Å; angles 93.60, 93.60, 150.99 degrees
Sites, in units of the cell vectors:
Pd (0.118, 0.733, 0.852)
Pd (0.267, 0.118, 0.385)
Pd (0.733, 0.882, 0.615)
Pd (0.882, 0.267, 0.148)
C (0.104, 0.308, 0.412)
C (0.308, 0.896, 0.203)
C (0.692, 0.104, 0.797)
C (0.896, 0.692, 0.588)

***

6.
# Nd6GeSe2S3

An optimized crystal structure of Nd6GeSe2S3 (GGA-PBE, Alexandria via LeMat-Bulk).

Calculated total energy: -74.18 eV/cell
SG: C2/m
M_tot: 0.000 μB/f.u.
Volume: 307.6 Å³/cell
Formation energy without anion corrections: -1.800 eV/atom

Cell lengths 9.327, 9.327, 8.341 Å; angles 102.67, 102.67, 25.79 degrees
Sites, in units of the cell vectors:
Nd (0.002, 0.002, 0.251)
Nd (0.335, 0.335, 0.428)
Nd (0.340, 0.340, 0.907)
Nd (0.660, 0.660, 0.093)
Nd (0.665, 0.665, 0.572)
Nd (0.998, 0.998, 0.749)
Ge (0.500, 0.500, 0.500)
Se (0.169, 0.169, 0.837)
Se (0.831, 0.831, 0.163)
S (0.168, 0.168, 0.333)
S (0.500, 0.500, 0.000)
S (0.832, 0.832, 0.667)